Run a
Entry from Alexandria via LeMat-Bulk: a geometry-optimized InGa2Au2 structure (GGA-PBEsol).

Summary:
As for the crystal system: tetragonal. As for the space group: I4/mmm. Its density is 10.73 g cm⁻³.

a = 4.4560 Å, b = 4.4560 Å, c = 5.9560 Å
α = 111.97°, β = 111.97°, γ = 90.00°
Sites, in units of the cell vectors:
Ga: 0.3789 0.3789 0.7579
Au: 0.7500 0.2500 0.5000
In: 0.0000 0.0000 0.0000
Au: 0.2500 0.7500 0.5000
Ga: 0.6211 0.6211 0.2421

---

Run b
Entry from Alexandria via LeMat-Bulk: a geometry-optimized InGa2Au2 structure (GGA-PBEsol).

Summary:
As for the crystal system: hexagonal. As for the space group: P6_3/mmc. Its density is 10.89 g cm⁻³.

a = 4.1954 Å, b = 4.1954 Å, c = 12.9654 Å
α = 90.00°, β = 90.00°, γ = 120.00°
Sites, in units of the cell vectors:
Au: 0.3333 0.6667 0.3618
Ga: 0.6667 0.3333 0.4365
Au: 0.6667 0.3333 0.6382
Au: 0.3333 0.6667 0.1382
In: 0.0000 0.0000 0.7500
Ga: 0.3333 0.6667 0.9365
Ga: 0.3333 0.6667 0.5635
Au: 0.6667 0.3333 0.8618
In: 0.0000 0.0000 0.2500
Ga: 0.6667 0.3333 0.0635

---

Which structure wins on stability? run b wins.

---

Run a
Entry from Alexandria via LeMat-Bulk: a geometry-optimized MgGaAu3 structure (GGA-PBEsol).

Summary:
As for the crystal system: cubic. As for the space group: Pm-3m. Its density is 9.64 g cm⁻³.

a = 4.9045 Å, b = 4.9045 Å, c = 4.9045 Å
α = 90.00°, β = 90.00°, γ = 90.00°
Sites, in units of the cell vectors:
Au: 0.0000 0.5000 0.0000
Ga: 0.5000 0.5000 0.5000
Mg: 0.0000 0.0000 0.0000
Au: 0.0000 0.0000 0.5000
Au: 0.5000 0.0000 0.0000

---

Run b
Entry from Alexandria via LeMat-Bulk: a geometry-optimized MgGaAu3 structure (GGA-PBEsol).

Summary:
As for the crystal system: cubic. As for the space group: Pm-3m. Its density is 10.46 g cm⁻³.

a = 4.7736 Å, b = 4.7736 Å, c = 4.7736 Å
α = 90.00°, β = 90.00°, γ = 90.00°
Sites, in units of the cell vectors:
Au: 0.5000 0.0000 0.0000
Au: 0.0000 0.0000 0.5000
Ga: 0.0000 0.0000 0.0000
Au: 0.0000 0.5000 0.0000
Mg: 0.5000 0.5000 0.5000

---

Which structure wins on stability? run b wins.

---

Run a
Entry from Alexandria via LeMat-Bulk: a geometry-optimized HAu2N structure (GGA-PBEsol).

Summary:
As for the crystal system: cubic. As for the space group: Fm-3m. Its density is 14.85 g cm⁻³.

a = 4.0136 Å, b = 4.0136 Å, c = 4.0136 Å
α = 60.00°, β = 60.00°, γ = 60.00°
Sites, in units of the cell vectors:
Au: 0.7500 0.7500 0.7500
Au: 0.2500 0.2500 0.2500
N: 0.5000 0.5000 0.5000
H: 0.0000 0.0000 0.0000

---

Run b
Entry from Alexandria via LeMat-Bulk: a geometry-optimized HAu2N structure (GGA-PBEsol).

Summary:
As for the crystal system: tetragonal. As for the space group: I-42d. Its density is 13.72 g cm⁻³.

a = 4.5967 Å, b = 4.5967 Å, c = 5.7011 Å
α = 113.77°, β = 113.77°, γ = 90.00°
Sites, in units of the cell vectors:
N: 0.0000 0.0000 0.0000
N: 0.2500 0.7500 0.5000
Au: 0.8281 0.3750 0.2500
Au: 0.6250 0.5781 0.7500
Au: 0.1250 0.1719 0.7500
H: 0.5000 0.5000 0.0000
H: 0.7500 0.2500 0.5000
Au: 0.4219 0.8750 0.2500

---

Which structure wins on stability? run b wins.